1.
DFT (GGA-PBEsol) results for AgHg2Au after structural relaxation.

## Properties
Its density of states at the Fermi level is 0.266 states/eV/atom. The calculation puts the formation enthalpy at 0 K at 32 meV/atom. The calculation puts the total magnetization at 0.0000 μB/atom.

Lattice parameters (Å, degrees): 4.2523 4.2523 8.2800 90.00 90.00 90.00
Last column: nearest neighbours and their distance in Å.
Space group I4/mmm (No. 139)
Symmetry-distinct sites (fractional):
Ag 0.0000 0.0000 0.0000 x2  8 Hg 2.97, 4 Au 3.01
Hg 0.0000 0.5000 0.2500 x4  4 Ag 2.97, 4 Au 2.97, 4 Hg 3.01
Au 0.0000 0.0000 0.5000 x2  8 Hg 2.97, 4 Ag 3.01

---

2.
DFT (GGA-PBEsol) results for MoIrRh2 after structural relaxation.

## Properties
Its density of states at the Fermi level is 0.996 states/eV/atom. The calculation puts the formation enthalpy at 0 K at -217 meV/atom. The calculation puts the total magnetization at 0.0000 μB/atom.

Lattice parameters (Å, degrees): 3.8348 3.8348 7.5945 90.00 90.00 90.00
Last column: nearest neighbours and their distance in Å.
Space group I-4m2 (No. 119)
Symmetry-distinct sites (fractional):
Mo 0.0000 0.0000 0.0000 x2  4 Ir 2.70, 8 Rh 2.70-2.71
Ir 0.0000 0.5000 0.7500 x2  4 Mo 2.70, 8 Rh 2.70-2.71
Rh 0.0000 0.0000 0.5000 x2  4 Ir 2.70, 4 Rh 2.70, 4 Mo 2.71
Rh 0.0000 0.5000 0.2500 x2  4 Mo 2.70, 4 Rh 2.70, 4 Ir 2.71

---

3.
DFT (GGA-PBEsol) results for SrMgScRu2 after structural relaxation.

## Properties
Its density of states at the Fermi level is 1.415 states/eV/atom. The calculation puts the formation enthalpy at 0 K at 1097 meV/atom. The calculation puts the total magnetization at 0.1136 μB/atom.

Lattice parameters (Å, degrees): 4.7549 4.7549 4.8453 90.00 90.00 90.00
Last column: nearest neighbours and their distance in Å.
Space group P4/mmm (No. 123)
Symmetry-distinct sites (fractional):
Sr 0.0000 0.0000 0.0000 x1  4 Sc 3.36, 8 Ru 3.39
Mg 0.5000 0.5000 0.5000 x1  4 Ru 2.38, 2 Sc 2.42
Sc 0.5000 0.5000 0.0000 x1  2 Mg 2.42
Ru 0.0000 0.5000 0.5000 x2  2 Mg 2.38

---

4.
DFT (GGA-PBEsol) results for LiMgCo2 after structural relaxation.

## Properties
Its density of states at the Fermi level is 1.005 states/eV/atom. The calculation puts the formation enthalpy at 0 K at 344 meV/atom. The calculation puts the total magnetization at 0.6239 μB/atom.

Lattice parameters (Å, degrees): 2.6003 2.6003 25.8056 90.00 90.00 120.00
Last column: nearest neighbours and their distance in Å.
Space group R-3m (No. 166, hexagonal axes)
Symmetry-distinct sites (fractional):
Li 0.0000 0.0000 0.0000 x3  6 Li 2.60, 6 Co 2.61
Mg 0.0000 0.0000 0.5000 x3  6 Mg 2.60, 6 Co 2.63
Co 0.0000 0.0000 0.2504 x6  6 Co 2.60, 3 Li 2.61, 3 Mg 2.63

---

5.
DFT (GGA-PBEsol) results for Sr3Pb2 after structural relaxation.

## Properties
Its density of states at the Fermi level is 1.664 states/eV/atom. The calculation puts the formation enthalpy at 0 K at -424 meV/atom. The calculation puts the total magnetization at 0.0010 μB/atom.

Lattice parameters (Å, degrees): 5.6872 5.6872 6.9370 90.00 90.00 120.00
Last column: nearest neighbours and their distance in Å.
Space group P-3m1 (No. 164)
Symmetry-distinct sites (fractional):
Sr 0.0000 0.0000 0.0000 x1  6 Pb 3.53
Sr 0.3333 0.6667 0.3209 x2  5 Pb 3.41-3.52
Pb 0.3333 0.6667 0.8130 x2  8 Sr 3.41-3.53

---

6.
DFT (GGA-PBEsol) results for SrAl2Ni after structural relaxation.

## Properties
Its density of states at the Fermi level is 0.719 states/eV/atom. The calculation puts the formation enthalpy at 0 K at -331 meV/atom. The calculation puts the total magnetization at 0.0012 μB/atom.

Lattice parameters (Å, degrees): 4.1680 4.1680 17.0031 90.00 90.00 120.00
Last column: nearest neighbours and their distance in Å.
Space group R-3m (No. 166, hexagonal axes)
Symmetry-distinct sites (fractional):
Sr 0.0000 0.0000 0.0000 x3  8 Al 3.34-3.35, 6 Ni 3.72
Al 0.0000 0.0000 0.1964 x6  3 Ni 2.46, 3 Al 2.61
Ni 0.0000 0.0000 0.5000 x3  6 Al 2.46

---

7.
DFT (GGA-PBEsol) results for CaMgW2S after structural relaxation.

## Properties
Its density of states at the Fermi level is 0.776 states/eV/atom. The calculation puts the total magnetization at 0.0000 μB/atom. As for the uncorrected formation energy: 506 meV/atom.

Lattice parameters (Å, degrees): 4.4447 4.4447 5.0884 90.00 90.00 90.00
Last column: nearest neighbours and their distance in Å.
Space group P4/mmm (No. 123)
Symmetry-distinct sites (fractional):
Ca 0.0000 0.0000 0.0000 x1  2 S 2.54
Mg 0.5000 0.5000 0.0000 x1  4 Ca 3.14, 8 W 3.38
W 0.0000 0.5000 0.5000 x2  2 S 2.22
S 0.0000 0.0000 0.5000 x1  4 W 2.22

---

8.
DFT (GGA-PBEsol) results for YIn2Cl after structural relaxation.

## Properties
Its density of states at the Fermi level is 0.532 states/eV/atom. The calculation puts the total magnetization at 0.0001 μB/atom. As for the uncorrected formation energy: -763 meV/atom.

Lattice parameters (Å, degrees): 3.3278 3.3278 9.2246 90.00 90.00 90.00
Last column: nearest neighbours and their distance in Å.
Space group P4mm (No. 99)
Symmetry-distinct sites (fractional):
Y 0.0000 0.0000 0.0000 x1  4 Cl 2.80
In 0.0000 0.0000 0.5106 x1  8 In 3.29-3.33
In 0.5000 0.5000 0.7594 x1  4 Y 3.23, 8 In 3.29-3.33
Cl 0.5000 0.5000 0.1652 x1  4 Y 2.80

---

9.
DFT (GGA-PBEsol) results for MgTlZn2 after structural relaxation.

## Properties
Its density of states at the Fermi level is 0.375 states/eV/atom. The calculation puts the formation enthalpy at 0 K at 60 meV/atom. The calculation puts the total magnetization at 0.0000 μB/atom.

Lattice parameters (Å, degrees): 3.1579 3.1579 7.8073 90.00 90.00 90.00
Last column: nearest neighbours and their distance in Å.
Space group P4mm (No. 99)
Symmetry-distinct sites (fractional):
Mg 0.0000 0.0000 0.0000 x1  5 Zn 2.86-3.20, 4 Mg 3.16
Tl 0.5000 0.5000 0.6890 x1  4 Zn 3.12, 4 Tl 3.16, 4 Mg 3.30
Zn 0.0000 0.0000 0.4093 x1  4 Zn 2.64
Zn 0.5000 0.5000 0.2292 x1  4 Zn 2.64, 4 Mg 2.86

---

10.
DFT (GGA-PBEsol) results for Zr2ZnRe after structural relaxation.

## Properties
Its density of states at the Fermi level is 0.760 states/eV/atom. The calculation puts the formation enthalpy at 0 K at -74 meV/atom. The calculation puts the total magnetization at 0.0000 μB/atom.

Lattice parameters (Å, degrees): 3.3626 4.7365 8.9352 90.00 90.00 90.00
Last column: nearest neighbours and their distance in Å.
Space group Cmmm (No. 65)
Symmetry-distinct sites (fractional):
Zr 0.0000 0.0000 0.2400 x4  2 Re 2.72, 2 Zn 2.87, 4 Zr 2.90
Zn 0.0000 0.5000 0.5000 x2  4 Zr 2.87, 4 Zn 2.90
Re 0.0000 0.5000 0.0000 x2  4 Zr 2.72, 4 Re 2.90

---

11.
DFT (GGA-PBEsol) results for Na3TbV2O8 after structural relaxation.

## Properties
Its density of states at the Fermi level is 0.000 states/eV/atom. The calculation puts the total magnetization at 0.0001 μB/atom. As for the uncorrected formation energy: -2470 meV/atom.

Lattice parameters (Å, degrees): 5.8417 5.8417 6.9261 90.00 90.00 120.00
Last column: nearest neighbours and their distance in Å.
Space group P-3m1 (No. 164)
Symmetry-distinct sites (fractional):
Na 0.0000 0.0000 0.0000 x1  6 O 2.75
Na 0.3333 0.6667 0.6602 x2  1 O 2.17
Tb 0.0000 0.0000 0.5000 x1  6 O 2.22
V 0.3333 0.6667 0.2115 x2  4 O 1.65-1.74
O 0.1741 0.3483 0.3047 x6  1 V 1.74
O 0.3333 0.6667 0.9735 x2  1 V 1.65

---

12.
DFT (GGA-PBEsol) results for LiReSb2 after structural relaxation.

## Properties
Its density of states at the Fermi level is 0.606 states/eV/atom. The calculation puts the total magnetization at 0.0000 μB/atom. As for the uncorrected formation energy: 103 meV/atom.

Lattice parameters (Å, degrees): 6.5676 6.5676 6.5676 90.00 90.00 90.00
Last column: nearest neighbours and their distance in Å.
Space group Fm-3m (No. 225)
Symmetry-distinct sites (fractional):
Li 0.0000 0.0000 0.0000 x4  8 Sb 2.84
Re 0.0000 0.0000 0.5000 x4  8 Sb 2.84
Sb 0.2500 0.2500 0.2500 x8  4 Li 2.84, 4 Re 2.84